Material: CaY2Al
Method: DFT, PBE-GGA
State: relaxed

CIF file:
```
data_CaY2Al
_cell_length_a 11.242
_cell_length_b 11.242
_cell_length_c 11.242
_cell_angle_alpha 18.29
_cell_angle_beta 18.29
_cell_angle_gamma 18.29
_space_group_name_H-M_alt 'P 1'
_space_group_IT_number 1
_space_group_name_Hall 'P 1'
loop_
_atom_site_label
_atom_site_type_symbol
_atom_site_fract_x
_atom_site_fract_y
_atom_site_fract_z
_atom_site_occupancy
Y1 Y 0.996 0.996 0.996 1
Y2 Y 0.242 0.242 0.242 1
Ca1 Ca 0.761 0.761 0.761 1
Al1 Al 0.502 0.502 0.502 1
```

Properties
As for the symmetry: No. 160. The value obtained for the formation energy is 0.011 eV/atom. The value obtained for the calculated total energy is -18.6 eV per cell.


Material: CaYAl2
Method: DFT, PBE-GGA
State: relaxed

CIF file:
```
data_CaYAl2
_cell_length_a 8.102
_cell_length_b 8.102
_cell_length_c 6.628
_cell_angle_alpha 52.32
_cell_angle_beta 52.32
_cell_angle_gamma 90.00
_space_group_name_H-M_alt 'P 1'
_space_group_IT_number 1
_space_group_name_Hall 'P 1'
loop_
_atom_site_label
_atom_site_type_symbol
_atom_site_fract_x
_atom_site_fract_y
_atom_site_fract_z
_atom_site_occupancy
Y1 Y 0.000 0.000 0.000 1
Y2 Y 0.750 0.250 0.500 1
Ca1 Ca 0.500 0.500 0.000 1
Ca2 Ca 0.250 0.750 0.500 1
Al1 Al 0.628 0.125 0.250 1
Al2 Al 0.122 0.625 0.250 1
Al3 Al 0.375 0.372 0.750 1
Al4 Al 0.875 0.878 0.750 1
```

Properties
As for the symmetry: No. 122. The value obtained for the formation energy is 0.158 eV/atom. The value obtained for the calculated total energy is -30.6 eV per cell.